# TaNi4Ir meta-GGA SCAN PBEsol geometry
# Total moment: 1.7 μB per formula unit
# Total DFT energy (no corrections): -817.2 eV/cell
# E_form: -0.3228 eV/atom
data_TaNi4Ir
_symmetry_space_group_name_H-M 'F -4 3 m'
_symmetry_Int_Tables_number 216
_symmetry_space_group_name_Hall 'F -4 2 3'
_cell_length_a 6.5695
_cell_length_b 6.5695
_cell_length_c 6.5695
_cell_angle_alpha 90.00
_cell_angle_beta 90.00
_cell_angle_gamma 90.00
loop_
_atom_site_label
_atom_site_fract_x
_atom_site_fract_y
_atom_site_fract_z
Ta1 0.0000 0.0000 0.0000
Ni1 0.1245 0.1245 0.6245
Ir1 0.2500 0.2500 0.2500